The following is a DFT calculation (PBEsol) of a relaxed Cd2ReAu crystal.

SG = Cmmm, No. 65
Size of the total moment = 0.000 μB/f.u.
DFT formation energy = 372.0 meV/atom
Distance to the lowest polymorph of the same formula = 0.0 meV per atom
Crystal system = orthorhombic

Cell lengths 5.175, 5.175, 2.752 Å; angles 90.00, 90.00, 111.10 degrees
Sites, in units of the cell vectors:
Cd  0.000  0.500  0.000
Cd  0.500  0.000  0.000
Re  0.000  0.000  0.500
Au  0.500  0.500  0.500


The following is a DFT calculation (PBEsol) of a relaxed ReRuAu2 crystal.

SG = R-3m, No. 166
Size of the total moment = 0.198 μB/f.u.
DFT formation energy = 469.7 meV/atom
Distance to the lowest polymorph of the same formula = 1.6 meV per atom
Crystal system = trigonal

Cell lengths 9.316, 9.316, 9.316 Å; angles 17.10, 17.10, 17.10 degrees
Sites, in units of the cell vectors:
Re  0.000  0.000  0.000
Ru  0.500  0.500  0.500
Au  0.250  0.250  0.250
Au  0.750  0.750  0.750


size of the total moment of number 1 (Cd2ReAu)?
0.000 μB/f.u.


Which formula does entry 2 have?
ReRuAu2


What did the first record say?
The following is a DFT calculation (PBEsol) of a relaxed Cd2ReAu crystal.

SG = Cmmm, No. 65
Size of the total moment = 0.000 μB/f.u.
DFT formation energy = 372.0 meV/atom
Distance to the lowest polymorph of the same formula = 0.0 meV per atom
Crystal system = orthorhombic

Cell lengths 5.175, 5.175, 2.752 Å; angles 90.00, 90.00, 111.10 degrees
Sites, in units of the cell vectors:
Cd  0.000  0.500  0.000
Cd  0.500  0.000  0.000
Re  0.000  0.000  0.500
Au  0.500  0.500  0.500